Computed, not measured: a crystal of ScH6Br3N2 relaxed with PBEsol at the meta-GGA SCAN level of DFT.

Values from the calculation:
- SG: P-1 (2)
- Electronic total energy: -10.307 eV per atom
- Crystal system: triclinic

Cell lengths 7.1412, 10.0710, 11.1993 Å; angles 105.00, 91.18, 109.53 degrees
Last column: nearest neighbours and their distance in Å.
Element x y z (fractional)
1 H 0.7703 0.0581 0.9906  1 N 1.04
2 H 0.5407 0.3104 0.7513  1 N 1.04
3 H 0.4593 0.6896 0.2487  1 N 1.04
4 H 0.6617 0.4658 0.2930  1 N 1.03
5 H 0.5365 0.3088 0.8986  1 N 1.03
6 H 0.3299 0.5358 0.5594  1 N 1.03
7 H 0.1773 0.6999 0.4086  1 N 1.03
8 H 0.9863 0.2138 0.5766  1 N 1.04
9 H 0.7086 0.4434 0.8608  1 N 1.03
10 H 0.9437 0.2218 0.0533  1 N 1.03
11 H 0.2297 0.9419 0.0094  1 N 1.04
12 H 0.2914 0.5566 0.1392  1 N 1.03
13 H 0.7432 0.1183 0.5406  1 N 1.03
14 H 0.7022 0.2030 0.0415  1 N 1.03
15 H 0.2503 0.6470 0.6629  1 N 1.03
16 H 0.4635 0.6912 0.1014  1 N 1.03
17 H 0.6701 0.4642 0.4406  1 N 1.03
18 H 0.7497 0.3530 0.3371  1 N 1.03
19 H 0.2978 0.7970 0.9585  1 N 1.03
20 H 0.3383 0.5342 0.7070  1 N 1.03
21 H 0.0137 0.7862 0.4234  1 N 1.04
22 H 0.8227 0.3001 0.5914  1 N 1.03
23 H 0.0563 0.7782 0.9467  1 N 1.03
24 H 0.2568 0.8817 0.4594  1 N 1.03
25 Br 0.0116 0.0045 0.7532  2 Sc 2.63-2.67
26 Br 0.3411 0.2290 0.5407  2 H 2.52-2.53, 1 Sc 2.60
27 Br 0.3531 0.2223 0.0746  3 H 2.56-2.59, 1 Sc 2.61
28 Br 0.5110 0.0256 0.2698  2 Sc 2.69-2.70
29 Br 0.9884 0.9955 0.2468  2 Sc 2.63-2.67
30 Br 0.1544 0.4234 0.8706  1 Sc 2.52, 1 H 2.55
31 Br 0.8574 0.5898 0.6595  3 H 2.55-2.74, 1 Sc 2.58
32 Br 0.1426 0.4102 0.3405  3 H 2.55-2.74, 1 Sc 2.58
33 Br 0.8456 0.5766 0.1294  1 Sc 2.52, 1 H 2.55
34 Br 0.6589 0.7710 0.4593  2 H 2.52-2.53, 1 Sc 2.60
35 Br 0.6469 0.7777 0.9254  3 H 2.56-2.59, 1 Sc 2.61
36 Br 0.4890 0.9744 0.7302  2 Sc 2.69-2.70
37 N 0.8463 0.2085 0.6031  3 H 1.03-1.04
38 N 0.1537 0.7915 0.3969  3 H 1.03-1.04
39 N 0.8099 0.1686 0.9964  3 H 1.03-1.04
40 N 0.1901 0.8314 0.0036  3 H 1.03-1.04
41 N 0.6378 0.3971 0.3500  3 H 1.03
42 N 0.3685 0.6682 0.1677  3 H 1.03-1.04
43 N 0.6315 0.3318 0.8323  3 H 1.03-1.04
44 N 0.3622 0.6029 0.6500  3 H 1.03
45 Sc 0.8372 0.2017 0.8042  3 N 2.25-2.27
46 Sc 0.6705 0.7738 0.6920  1 N 2.24
47 Sc 0.3295 0.2262 0.3080  1 N 2.24
48 Sc 0.1628 0.7983 0.1958  3 N 2.25-2.27